This record from Alexandria describes an optimized crystal structure of DyHo3Cu2. The functional is PBE.

POSCAR file:
```
DyHo3Cu2
1.0
4.8871 0.0000 0.0000
0.0000 6.8520 0.0000
0.0000 0.0000 8.6731
Dy Ho Cu
2 6 4
Direct
0.5000 0.5145 0.5755
0.5000 0.0145 0.4245
0.0000 0.4852 0.9250
0.0000 0.9852 0.0750
0.5000 0.6439 0.1652
0.5000 0.1439 0.8348
0.0000 0.3562 0.3341
0.0000 0.8562 0.6659
0.5000 0.7399 0.8495
0.5000 0.2399 0.1505
0.0000 0.2603 0.6515
0.0000 0.7603 0.3485
```

Calculated volume in Å³ per cell: 290
Final energy in eV for the cell shown: -55.1
Energy relative to the lowest polymorph listed for this composition in meV/atom: 0